Here is a relaxed structure of CeCo5GeP2 from Alexandria. Energies are from GGA-PBE.

abc: 3.729 3.729 9.414
angles: 90.00 90.00 90.00
Space group P4/mmm (No. 123)
One atom of each set of equivalent atoms:
1 Ce 0.000 0.000 0.000 (multiplicity 1)
2 Co 0.000 0.500 0.344 (multiplicity 4)
3 Co 0.500 0.500 0.000 (multiplicity 1)
4 Ge 0.000 0.000 0.500 (multiplicity 1)
5 P 0.500 0.500 0.228 (multiplicity 2)



Here is a relaxed structure of LiNbSn2 from Alexandria. Energies are from GGA-PBE.

abc: 7.348 7.348 6.118
angles: 90.00 90.00 90.00
Space group I-42d (No. 122)
One atom of each set of equivalent atoms:
1 Li 0.000 0.000 0.000 (multiplicity 4)
2 Nb 0.000 0.000 0.500 (multiplicity 4)
3 Sn 0.221 0.250 0.125 (multiplicity 8)

Results
Polymorph energy (0 for the lowest one) (eV per formula unit): 1.39



no.,spin magnetization (μB/cell),E_form (eV/atom)
1,0.0,-0.4944
2,0.0,0.2383